Nb2RePdRu | Alexandria via LeMat-Bulk | GGA-PBE | optimized geometry; ΔE_f = 1545 meV/atom; space-group type = No. 123; volume = 103.2 Å³/cell
1.0
-2.503 1.878 3.448
-0.251 -4.249 2.132
3.918 0.940 2.333
Nb Ru Re Pd
2 1 1 1
Cartesian
-1.252 0.939 1.724 Nb
1.959 0.470 1.166 Nb
0.000 0.000 0.000 Ru
0.582 -0.716 3.957 Re
-0.125 -2.125 1.066 Pd